Here is a relaxed structure of GaB3Os from the Alexandria database. Energies are from PBE.

Unit cell a=4.162 b=4.162 c=4.162 alpha=90.00 beta=90.00 gamma=90.00
Space group Pm-3m (No. 221)
Unique sites:
Ga 0.000 0.000 0.000 [1 per cell]
B 0.000 0.500 0.500 [3 per cell]
Os 0.500 0.500 0.500 [1 per cell]

**Volume**: 72 Å³/cell
**DOS(E_F)**: 0.001 states/eV/atom
**E above lowest polymorph**: 0.00 eV/f.u.